VASP calculation (GGA+U) on a relaxed structure of MgSi4NiO10.

a b c (Å): 7.242 7.242 14.914
angles (deg): 90.00 90.00 90.00
Fractional coordinates of all 64 atoms:
Mg (0.250, 0.750, 0.000)
Mg (0.250, 0.750, 0.500)
Mg (0.750, 0.250, 0.000)
Mg (0.750, 0.250, 0.500)
Si (0.010, 0.584, 0.144)
Si (0.010, 0.916, 0.644)
Si (0.084, 0.510, 0.356)
Si (0.084, 0.990, 0.856)
Si (0.416, 0.510, 0.856)
Si (0.416, 0.990, 0.356)
Si (0.490, 0.584, 0.644)
Si (0.490, 0.916, 0.144)
Si (0.510, 0.084, 0.856)
Si (0.510, 0.416, 0.356)
Si (0.584, 0.010, 0.644)
Si (0.584, 0.490, 0.144)
Si (0.916, 0.010, 0.144)
Si (0.916, 0.490, 0.644)
Si (0.990, 0.084, 0.356)
Si (0.990, 0.416, 0.856)
Ni (0.250, 0.250, 0.072)
Ni (0.250, 0.250, 0.572)
Ni (0.750, 0.750, 0.428)
Ni (0.750, 0.750, 0.928)
O (0.003, 0.694, 0.623)
O (0.003, 0.806, 0.123)
O (0.012, 0.666, 0.425)
O (0.012, 0.834, 0.925)
O (0.054, 0.554, 0.250)
O (0.054, 0.946, 0.750)
O (0.166, 0.512, 0.075)
O (0.166, 0.988, 0.575)
O (0.194, 0.503, 0.877)
O (0.194, 0.997, 0.377)
O (0.306, 0.503, 0.377)
O (0.306, 0.997, 0.877)
O (0.334, 0.512, 0.575)
O (0.334, 0.988, 0.075)
O (0.446, 0.554, 0.750)
O (0.446, 0.946, 0.250)
O (0.488, 0.666, 0.925)
O (0.488, 0.834, 0.425)
O (0.497, 0.694, 0.123)
O (0.497, 0.806, 0.623)
O (0.503, 0.194, 0.377)
O (0.503, 0.306, 0.877)
O (0.512, 0.166, 0.575)
O (0.512, 0.334, 0.075)
O (0.554, 0.054, 0.750)
O (0.554, 0.446, 0.250)
O (0.666, 0.012, 0.925)
O (0.666, 0.488, 0.425)
O (0.694, 0.003, 0.123)
O (0.694, 0.497, 0.623)
O (0.806, 0.003, 0.623)
O (0.806, 0.497, 0.123)
O (0.834, 0.012, 0.425)
O (0.834, 0.488, 0.925)
O (0.946, 0.054, 0.250)
O (0.946, 0.446, 0.750)
O (0.988, 0.166, 0.075)
O (0.988, 0.334, 0.575)
O (0.997, 0.194, 0.877)
O (0.997, 0.306, 0.377)

Output
- VASP energy: -7.199 eV per atom